Below is CsCrOF2 at its PBEsol-relaxed geometry, with properties calculated at the meta-GGA SCAN level.

a = 5.055 Å, b = 5.055 Å, c = 4.379 Å
α = 90.00°, β = 90.00°, γ = 90.00°
Positions (direct):
Cs1 0.000 0.000 0.000
Cr1 0.500 0.500 0.500
O1 0.000 0.000 0.500
F1 0.000 0.500 0.000
F2 0.500 0.000 0.000

Properties
E_tot = -14.303 eV per atom
formation energy from raw total energies = -0.40 eV/atom